Crystalline MgAgSb at its relaxed geometry. Source: Alexandria via LeMat-Bulk, functional PBE.

Output
* DOS at the Fermi energy: 0.01 states/eV/cell
* M_tot: 0.00 μB per formula unit
* energy relative to the elements, uncorrected: -0.098 eV per atom
* electronic total energy: -0.217 Ry/atom

abc: 7.8459 4.7576 8.6425
angles: 90.00 90.00 90.00
Fractional coordinates of all 12 atoms:
Mg 0.1339 0.2500 0.1040
Mg 0.3661 0.7500 0.6040
Mg 0.6339 0.2500 0.3960
Mg 0.8661 0.7500 0.8960
Ag 0.0637 0.7500 0.4308
Ag 0.4363 0.2500 0.9308
Ag 0.5637 0.7500 0.0692
Ag 0.9363 0.2500 0.5692
Sb 0.2346 0.7500 0.9118
Sb 0.2654 0.2500 0.4118
Sb 0.7346 0.7500 0.5882
Sb 0.7654 0.2500 0.0882

=====

Crystalline MgAgSb2 at its relaxed geometry. Source: Alexandria via LeMat-Bulk, functional PBE.

Output
* DOS at the Fermi energy: 2.32 states/eV/cell
* M_tot: 0.00 μB per formula unit
* energy relative to the elements, uncorrected: 0.122 eV per atom
* electronic total energy: -0.224 Ry/atom

abc: 5.1451 5.1451 5.1451
angles: 60.00 60.00 60.00
Fractional coordinates of all 4 atoms:
Mg 0.0000 0.0000 0.0000
Ag 0.7500 0.7500 0.7500
Sb 0.2500 0.2500 0.2500
Sb 0.5000 0.5000 0.5000

=====

Crystalline Mg2Ag2Sb at its relaxed geometry. Source: Alexandria via LeMat-Bulk, functional PBE.

Output
* DOS at the Fermi energy: 4.38 states/eV/cell
* M_tot: 0.00 μB per formula unit
* energy relative to the elements, uncorrected: -0.138 eV per atom
* electronic total energy: -0.201 Ry/atom

abc: 7.9905 7.9905 3.2466
angles: 90.00 90.00 90.00
Fractional coordinates of all 10 atoms:
Mg 0.1649 0.3351 0.0000
Mg 0.3351 0.8351 0.0000
Mg 0.6649 0.1649 0.0000
Mg 0.8351 0.6649 0.0000
Ag 0.1290 0.6290 0.5000
Ag 0.3710 0.1290 0.5000
Ag 0.6290 0.8710 0.5000
Ag 0.8710 0.3710 0.5000
Sb 0.0000 0.0000 0.5000
Sb 0.5000 0.5000 0.5000

=====

Crystalline MgAgSb at its relaxed geometry. Source: Alexandria via LeMat-Bulk, functional PBE.

Output
* DOS at the Fermi energy: 1.00 states/eV/cell
* M_tot: 0.00 μB per formula unit
* energy relative to the elements, uncorrected: -0.037 eV per atom
* electronic total energy: -0.213 Ry/atom

abc: 5.1151 5.1151 5.9321
angles: 90.00 90.00 120.00
Fractional coordinates of all 6 atoms:
Mg 0.3333 0.6667 0.2500
Mg 0.6667 0.3333 0.7500
Ag 0.0000 0.0000 0.0000
Ag 0.0000 0.0000 0.5000
Sb 0.3333 0.6667 0.7500
Sb 0.6667 0.3333 0.2500

=====

Crystalline MgAg6Sb at its relaxed geometry. Source: Alexandria via LeMat-Bulk, functional PBE.

Output
* DOS at the Fermi energy: 2.73 states/eV/cell
* M_tot: 0.00 μB per formula unit
* energy relative to the elements, uncorrected: 0.148 eV per atom
* electronic total energy: -0.199 Ry/atom

abc: 5.6544 5.6544 5.6544
angles: 83.72 83.72 83.72
Fractional coordinates of all 8 atoms:
Mg 0.0000 0.0000 0.0000
Ag 0.0310 0.6643 0.6643
Ag 0.3357 0.3357 0.9690
Ag 0.3357 0.9690 0.3357
Ag 0.6643 0.0310 0.6643
Ag 0.6643 0.6643 0.0310
Ag 0.9690 0.3357 0.3357
Sb 0.5000 0.5000 0.5000

=====

Crystalline MgAgSb at its relaxed geometry. Source: Alexandria via LeMat-Bulk, functional PBE.

Output
* DOS at the Fermi energy: 2.11 states/eV/cell
* M_tot: 0.00 μB per formula unit
* energy relative to the elements, uncorrected: -0.121 eV per atom
* electronic total energy: -0.219 Ry/atom

abc: 4.3318 4.4413 7.6694
angles: 105.87 106.33 90.04
Fractional coordinates of all 6 atoms:
Mg 0.0000 0.0000 0.0000
Mg 0.1585 0.6497 0.3166
Ag 0.5073 0.5078 0.0149
Ag 0.8620 0.3667 0.7232
Sb 0.3588 0.8626 0.7167
Sb 0.6539 0.1498 0.3074